Entry 1:
Fe2AsBr meta-GGA SCAN single point on PBEsol structure; total energy = -73.64 eV per cell; energy relative to the elements, uncorrected = 567 meV/atom; energy relative to the lowest polymorph listed for this composition = 586 meV/atom
1.0
-1.7989 1.9067 -1.4341
-3.2121 -2.8631 0.2224
-1.2322 1.6755 3.7734
As Fe Br
1 2 1
Direct
0.5000 0.5000 0.5000
0.0000 0.5000 0.0000
0.0000 0.0000 0.5000
0.5000 0.0000 0.0000

---

Entry 2:
ZrCd2Hg meta-GGA SCAN single point on PBEsol structure; total energy = -160.09 eV per cell; calculated formation energy = -0.098 eV/atom
1.0
3.0847 0.0000 0.0000
-1.5423 4.7871 0.0300
0.0000 -0.9441 5.6393
Cd Zr Hg
2 1 1
Direct
0.0015 0.0030 0.0110
0.7503 0.5005 0.2413
0.2492 0.4984 0.7412
0.4990 0.9981 0.5064

---

Entry 3:
KRb2GaBr6 meta-GGA SCAN single point on PBEsol structure; total energy = -197.67 eV per cell; energy relative to the elements, uncorrected = -1476 meV/atom
1.0
7.8680 0.0000 0.0000
3.9340 6.8139 0.0000
3.9340 2.2713 6.4242
Br Rb Ga K
6 2 1 1
Direct
0.2267 0.7733 0.7733
0.2267 0.2267 0.7733
0.7733 0.2267 0.7733
0.7733 0.7733 0.2267
0.7733 0.2267 0.2267
0.2267 0.7733 0.2267
0.7500 0.7500 0.7500
0.2500 0.2500 0.2500
0.0000 0.0000 0.0000
0.5000 0.5000 0.5000

---

Entry 4:
In3TcRh meta-GGA SCAN single point on PBEsol structure; total energy = -164.43 eV per cell; calculated formation energy = 0.912 eV/atom
1.0
-0.7494 4.9378 -0.0353
-4.6595 -0.6953 1.6585
1.6348 0.2818 4.7109
In Tc Rh
3 1 1
Direct
0.0000 0.5000 0.0000
0.5000 0.0000 0.0000
0.0000 0.0000 0.5000
0.0000 0.0000 0.0000
0.5000 0.5000 0.5000